[1]
First-principles (GGA-PBE) data for a relaxed structure of TbNiP2Ru, as listed in Alexandria.

```
5
Lattice="3.9037 0.0000 0.0000 0.0000 3.9037 0.0000 -1.9519 -1.9519 4.9200" Properties=species:S:1:pos:R:3 pbc="T T T"
Tb 0.0000 0.0000 0.0000
Ni 1.9519 0.0000 2.4600
P 1.9519 1.9519 1.1609
P 0.0000 0.0000 3.7591
Ru 0.0000 1.9519 2.4600
```



[2]
First-principles (GGA-PBE) data for a relaxed structure of Tb3Ni2P4Ru2, as listed in Alexandria.

```
11
Lattice="-3.7604 -0.9788 0.1980 2.7184 -2.4399 1.3398 -0.9128 6.1458 13.0442" Properties=species:S:1:pos:R:3 pbc="T T T"
Tb -0.6652 4.4790 9.5065
Tb 0.0000 0.0000 0.0000
Tb -0.2476 1.6668 3.5376
Ni -2.3864 3.8235 11.8050
Ni 0.4316 -1.0964 2.7770
P -1.7235 -0.6395 2.3324
P -0.2312 3.3666 12.2495
P -2.1501 2.2324 8.4280
P 0.1953 0.4947 6.1540
Ru -1.9993 1.2172 6.2732
Ru 0.0445 1.5099 8.3088
```



[3]
First-principles (GGA-PBE) data for a relaxed structure of Tb2Ni3P4Ru, as listed in Alexandria.

```
10
Lattice="3.9865 0.0000 0.0000 0.0000 3.9865 0.0000 0.0000 0.0000 9.3113" Properties=species:S:1:pos:R:3 pbc="T T T"
Tb 1.9932 0.0000 2.2318
Tb 0.0000 1.9932 7.0795
Ni 0.0000 0.0000 4.6556
Ni 1.9932 0.0000 8.2233
Ni 0.0000 1.9932 1.0880
P 1.9932 1.9932 0.0000
P 0.0000 0.0000 0.0000
P 1.9932 0.0000 5.9528
P 0.0000 1.9932 3.3585
Ru 1.9932 1.9932 4.6556
```



[4]
First-principles (GGA-PBE) data for a relaxed structure of Tb2Ni4P3Ru, as listed in Alexandria.

```
10
Lattice="-0.8407 3.4295 1.5083 -3.7182 -0.9534 0.0952 1.1874 -3.7204 9.1208" Properties=species:S:1:pos:R:3 pbc="T T T"
Tb -0.1310 0.8082 2.9766
Tb -0.9611 -3.2905 6.9460
Ni -2.2795 1.2381 0.8018
Ni 0.0000 0.0000 0.0000
Ni 0.3519 -0.7051 6.6865
Ni -1.4440 -1.7772 3.2361
P 0.5937 -1.8602 4.5604
P 0.6164 -1.5337 8.7181
P -1.7085 -0.9486 1.2045
Ru -1.6858 -0.6221 5.3622
```



| no. | formation energy from the elements (kJ per mole of atoms) | calculated density (Mg/m³) |
| --- | --- | --- |
| 1 | -91.0 | 8.4 |
| 2 | -107.5 | 8.1 |
| 3 | -94.5 | 8.1 |
| 4 | -75.5 | 8.5 |